## PaCd2GaRh2 (PBE-GGA)

Data for crystalline PaCd2GaRh2 at its relaxed geometry.

Summary:
D(E_F)	4.14	states/eV/f.u.
energy of formation	-515	meV per atom
calculated total energy	-5.358	eV per atom

Lattice parameters (Å, degrees): 3.862 8.427 7.121 90.00 90.00 90.00
Fractional coordinates of all 12 atoms:
Pa: 0.000 0.087 0.000
Pa: 0.000 0.913 0.500
Cd: 0.000 0.326 0.408
Cd: 0.000 0.674 0.908
Cd: 0.500 0.428 0.099
Cd: 0.500 0.572 0.599
Ga: 0.500 0.192 0.659
Ga: 0.500 0.808 0.159
Rh: 0.000 0.349 0.809
Rh: 0.000 0.651 0.309
Rh: 0.500 0.093 0.287
Rh: 0.500 0.907 0.787